A plane-wave DFT calculation with PBE was carried out for a relaxed structure of Cs2InS3.

a b c (Å): 14.0277 10.0664 7.0657
angles (deg): 90.00 90.00 90.00
With the nearest neighbours (Å) after each atom.
Space group Cmc2_1 (No. 36)
Inequivalent atoms, fractional coordinates:
Cs 0.1612 0.1520 0.0000 x8  5 S 3.46-3.67
In 0.0000 0.3742 0.4370 x4  4 S 2.45-2.51
S 0.0000 0.4053 0.0839 x4  2 In 2.45-2.51
S 0.1152 0.1933 0.5072 x8  1 In 2.48

Output
As for the total energy: -3.57 eV/atom. The raw formation energy comes out at -0.76 eV/atom. Its calculated density is 3.17 g/cm3. The spin magnetization comes out at 1.10 μB per formula unit.